# 1
A plane-wave DFT calculation with PBE was carried out for a relaxed Li3Ag6Au2 crystal.

DOS at the Fermi energy	3.08	states/eV/cell
energy relative to the lowest polymorph listed for this composition	194	kJ/mol of formula units
formation energy from the elements	-0.03	eV per atom

Lattice parameters (Å, degrees): 3.8149 3.8149 15.2149 97.20 97.20 90.00
Positions (direct):
Li (0.0000, 0.0000, 0.0000)
Li (0.8299, 0.8299, 0.6598)
Li (0.1701, 0.1701, 0.3402)
Ag (0.0699, 0.5699, 0.1397)
Ag (0.5699, 0.0699, 0.1397)
Ag (0.9301, 0.4301, 0.8603)
Ag (0.4301, 0.9301, 0.8603)
Ag (0.7335, 0.7335, 0.4670)
Ag (0.2665, 0.2665, 0.5330)
Au (0.3578, 0.3578, 0.7155)
Au (0.6422, 0.6422, 0.2845)

=====

# 2
A plane-wave DFT calculation with PBE was carried out for a relaxed CrIrCl2 crystal.

DOS at the Fermi energy	14.00	states/eV/cell
energy relative to the lowest polymorph listed for this composition	413	kJ/mol of formula units
energy relative to the elements, uncorrected	0.8890	eV/atom

Lattice parameters (Å, degrees): 5.4065 5.4065 6.3131 64.65 64.65 90.00
Positions (direct):
Cr (0.5000, 0.5000, 0.0000)
Cr (0.2500, 0.7500, 0.5000)
Ir (0.0000, 0.0000, 0.0000)
Ir (0.7500, 0.2500, 0.5000)
Cl (0.5975, 0.1250, 0.2500)
Cl (0.1525, 0.6250, 0.2500)
Cl (0.3750, 0.4025, 0.7500)
Cl (0.8750, 0.8475, 0.7500)

=====

# 3
A plane-wave DFT calculation with PBE was carried out for a relaxed MnTcSe2 crystal.

DOS at the Fermi energy	2.98	states/eV/cell
energy relative to the lowest polymorph listed for this composition	142	kJ/mol of formula units
energy relative to the elements, uncorrected	0.0670	eV/atom

Lattice parameters (Å, degrees): 4.1014 4.1014 5.7368 78.55 78.55 47.79
Last column: magnetic moment on the atom in μB.
Positions (direct):
Mn (0.2500, 0.2500, 0.2500)  3.95
Se (0.0124, 0.0124, 0.9813)  0.01
Se (0.4876, 0.4876, 0.5187)  0.01
Tc (0.7500, 0.7500, 0.7500)  0.26

=====

# 4
A plane-wave DFT calculation with PBE was carried out for a relaxed V2BPtN crystal.

DOS at the Fermi energy	2.78	states/eV/cell
energy relative to the elements, uncorrected	0.1633	eV/atom

Lattice parameters (Å, degrees): 3.8092 4.1001 3.8092 90.00 90.00 90.00
Positions (direct):
B (0.5000, 0.5000, 0.5000)
N (0.0000, 0.0000, 0.0000)
Pt (0.0000, 0.5000, 0.0000)
V (0.0000, 0.0000, 0.5000)
V (0.5000, 0.0000, 0.0000)

=====

# 5
A plane-wave DFT calculation with PBE was carried out for a relaxed CdOs2Br crystal.

DOS at the Fermi energy	3.70	states/eV/cell
energy relative to the lowest polymorph listed for this composition	183	kJ/mol of formula units
energy relative to the elements, uncorrected	0.9097	eV/atom

Lattice parameters (Å, degrees): 5.3758 5.3758 8.2272 52.30 52.30 31.37
Positions (direct):
Os (0.0411, 0.0411, 0.1008)
Os (0.4589, 0.4589, 0.3992)
Br (0.7500, 0.7500, 0.7500)
Cd (0.2500, 0.2500, 0.2500)

=====

# 6
A plane-wave DFT calculation with PBE was carried out for a relaxed PaTi2Te crystal.

DOS at the Fermi energy	4.53	states/eV/cell
energy relative to the lowest polymorph listed for this composition	43	kJ/mol of formula units
energy relative to the elements, uncorrected	-0.1091	eV/atom

Lattice parameters (Å, degrees): 4.7919 4.7919 4.7919 60.00 60.00 60.00
Positions (direct):
Pa (0.5000, 0.5000, 0.5000)
Te (0.0000, 0.0000, 0.0000)
Ti (0.2500, 0.2500, 0.2500)
Ti (0.7500, 0.7500, 0.7500)

=====

# 7
A plane-wave DFT calculation with PBE was carried out for a relaxed TiRh3O6 crystal.

DOS at the Fermi energy	7.04	states/eV/cell
energy relative to the elements, uncorrected	-1.0967	eV/atom

Lattice parameters (Å, degrees): 5.0454 5.6273 7.7042 90.00 90.09 90.00
Last column: magnetic moment on the atom in μB.
Positions (direct):
Ti (0.5000, 0.5000, 0.5000)  0.08
Ti (0.0000, 0.0000, 0.0000)  0.08
Rh (0.4961, 0.9318, 0.8078)  0.31
Rh (0.5000, 0.5000, 0.0000)  0.01
Rh (0.5039, 0.0682, 0.1922)  0.31
Rh (0.9961, 0.5682, 0.3078)  0.31
Rh (0.0000, 0.0000, 0.5000)  0.01
Rh (0.0039, 0.4318, 0.6922)  0.31
O (0.6759, 0.1913, 0.9503)  0.04
O (0.6931, 0.2155, 0.5923)  0.01
O (0.6333, 0.4179, 0.2553)  0.00
O (0.3667, 0.5821, 0.7447)  0.00
O (0.3069, 0.7845, 0.4077)  0.01
O (0.3241, 0.8087, 0.0497)  0.04
O (0.1759, 0.3087, 0.4503)  0.04
O (0.1931, 0.2845, 0.0923)  0.01
O (0.1333, 0.0821, 0.7553)  0.00
O (0.8667, 0.9179, 0.2447)  0.00
O (0.8069, 0.7155, 0.9077)  0.01
O (0.8241, 0.6913, 0.5497)  0.04

=====

# 8
A plane-wave DFT calculation with PBE was carried out for a relaxed HoPdAu crystal.

DOS at the Fermi energy	5.79	states/eV/cell
energy relative to the lowest polymorph listed for this composition	113	kJ/mol of formula units
formation energy from the elements	-0.47	eV per atom

Lattice parameters (Å, degrees): 7.2817 7.2817 9.6953 128.22 128.22 49.66
Positions (direct):
Ho (0.9344, 0.4344, 0.5000)
Ho (0.6844, 0.6844, 0.0000)
Ho (0.5656, 0.0656, 0.5000)
Ho (0.3156, 0.3156, 0.0000)
Pd (0.3986, 0.3986, 0.7972)
Pd (0.6014, 0.6014, 0.2028)
Pd (0.8514, 0.3514, 0.7028)
Pd (0.6486, 0.1486, 0.2972)
Au (0.1250, 0.8750, 0.7500)
Au (0.1250, 0.3750, 0.2500)
Au (0.6250, 0.8750, 0.7500)
Au (0.1250, 0.8750, 0.2500)